DFT (meta-GGA SCAN) results for a crystal of Zn3RhSe relaxed with PBEsol.

Geometry as CIF:
```
data_Zn3RhSe
_space_group_name_H-M_alt 'P 1'
_space_group_IT_number 1
_cell_length_a 4.664
_cell_length_b 4.664
_cell_length_c 4.664
_cell_angle_alpha 90.00
_cell_angle_beta 90.00
_cell_angle_gamma 90.00
loop_
_space_group_symop_operation_xyz
'x,y,z'
loop_
_atom_site_label
_atom_site_type_symbol
_atom_site_fract_x
_atom_site_fract_y
_atom_site_fract_z
_atom_site_occupancy
Se1 Se 0.500 0.500 0.500 1
Zn1 Zn 0.000 0.000 0.500 1
Zn2 Zn 0.000 0.500 0.000 1
Zn3 Zn 0.500 0.000 0.000 1
Rh1 Rh 0.000 0.000 0.000 1
```

Values from the calculation:
uncorrected energy	-18.53	eV per atom
Fermi-level density of states	2.4	states/eV/f.u.
formation energy without anion corrections	348	meV/atom
crystal system	cubic
total magnetic moment	0.00	Bohr magnetons per cell
symmetry	Pm-3m